No. 1
First-principles (GGA-PBE) data for a geometry-optimized Ac2La5TbHo structure, as listed in Alexandria via LeMat-Bulk.

Cell: 11.687 11.687 10.621 Å, 90.00 90.00 151.89°
Atoms (fractional coordinates):
Ac1 0.116 0.884 0.514
Ac2 0.116 0.884 0.986
Ac3 0.884 0.116 0.014
Ac4 0.884 0.116 0.486
La1 0.005 0.995 0.250
La2 0.278 0.722 0.561
La3 0.278 0.722 0.939
La4 0.376 0.624 0.250
La5 0.500 0.500 0.000
La6 0.500 0.500 0.500
La7 0.624 0.376 0.750
La8 0.722 0.278 0.061
La9 0.722 0.278 0.439
La10 0.995 0.005 0.750
Tb1 0.213 0.787 0.250
Tb2 0.787 0.213 0.750
Ho1 0.397 0.603 0.750
Ho2 0.603 0.397 0.250

Properties
Formation energy (eV/atom): 0.101
Space-group type: Cmcm, No. 63

No. 2
First-principles (GGA-PBE) data for a geometry-optimized Dy2HoIn4 structure, as listed in Alexandria via LeMat-Bulk.

Cell: 8.171 8.171 8.171 Å, 142.59 142.59 53.94°
Atoms (fractional coordinates):
Dy1 0.249 0.249 0.000
Dy2 0.751 0.751 0.000
Ho1 0.500 0.500 0.000
In1 0.115 0.615 0.500
In2 0.385 0.885 0.500
In3 0.615 0.115 0.500
In4 0.885 0.385 0.500

Properties
Formation energy (eV/atom): -0.311
Space-group type: I4/mmm, No. 139

No. 3
First-principles (GGA-PBE) data for a geometry-optimized Ba2NdBr structure, as listed in Alexandria via LeMat-Bulk.

Cell: 12.670 12.670 12.670 Å, 18.20 18.20 18.20°
Atoms (fractional coordinates):
Ba1 0.101 0.101 0.101
Ba2 0.899 0.899 0.899
Nd1 0.000 0.000 0.000
Br1 0.500 0.500 0.500

Properties
Space-group type: R-3m, No. 166
Formation energy (no corrections) (eV per atom): -0.437